{"formula": "TlSBrN2", "functional": "PBE-GGA", "state": "relaxed", "e_above_lowest_polymorph_kj_per_mol_atoms": 0.00, "total_magnetization_mub_per_fu": 4.1, "dft_energy_ev_per_atom": -3.059, "raw_formation_energy_kj_per_mol_atoms": 183.7, "lattice": [[4.434, 0.000, 0.000], [0.000, 4.434, 0.000], [0.000, 0.000, 5.691]], "species": ["Tl", "S", "Br", "N", "N"], "frac_coords": [[0.000, 0.000, 0.000], [0.000, 0.000, 0.500], [0.500, 0.500, 0.500], [0.000, 0.500, 0.000], [0.500, 0.000, 0.000]]}